No. 1
Material: BaHf2Zr2
Method: DFT, PBE
State: optimized geometry

abc: 9.1375 9.1375 3.3029
angles: 90.00 90.00 90.00
Element x y z (fractional)
Ba: 0.0000 0.0000 0.0000
Ba: 0.5000 0.5000 0.0000
Hf: 0.1675 0.3325 0.5000
Hf: 0.3325 0.8325 0.5000
Hf: 0.6675 0.1675 0.5000
Hf: 0.8325 0.6675 0.5000
Zr: 0.1176 0.6176 0.0000
Zr: 0.3824 0.1176 0.0000
Zr: 0.6176 0.8824 0.0000
Zr: 0.8824 0.3824 0.0000

- mass density (g cm⁻³) = 8.2
- energy of formation from the pure elements (eV per formula unit) = 1.9
- DFT total energy (eV per atom) = -7.4142
- size of the total moment (μB per formula unit) = 0.00

---

No. 2
Material: BaHf3Zr
Method: DFT, PBE
State: optimized geometry

abc: 5.3717 5.3717 5.3717
angles: 90.00 90.00 90.00
Element x y z (fractional)
Ba: 0.0000 0.0000 0.0000
Hf: 0.0000 0.5000 0.5000
Hf: 0.5000 0.0000 0.5000
Hf: 0.5000 0.5000 0.0000
Zr: 0.5000 0.5000 0.5000

- mass density (g cm⁻³) = 8.2
- energy of formation from the pure elements (eV per formula unit) = 4.9
- DFT total energy (eV per atom) = -7.0851
- size of the total moment (μB per formula unit) = 0.00

---

No. 3
Material: BaHf2Zr2
Method: DFT, PBE
State: optimized geometry

abc: 9.1400 9.1400 3.3127
angles: 90.00 90.00 90.00
Element x y z (fractional)
Ba: 0.0000 0.0000 0.0000
Ba: 0.5000 0.5000 0.0000
Hf: 0.1168 0.3832 0.0000
Hf: 0.3832 0.8832 0.0000
Hf: 0.6168 0.1168 0.0000
Hf: 0.8832 0.6168 0.0000
Zr: 0.1666 0.6666 0.5000
Zr: 0.3334 0.1666 0.5000
Zr: 0.6666 0.8334 0.5000
Zr: 0.8334 0.3334 0.5000

- mass density (g cm⁻³) = 8.1
- energy of formation from the pure elements (eV per formula unit) = 1.8
- DFT total energy (eV per atom) = -7.4278
- size of the total moment (μB per formula unit) = 0.00

---

No. 4
Material: Ba2HfZr
Method: DFT, PBE
State: optimized geometry

abc: 5.7242 5.7242 5.7242
angles: 60.00 60.00 60.00
Element x y z (fractional)
Ba: 0.2500 0.2500 0.2500
Ba: 0.7500 0.7500 0.7500
Hf: 0.0000 0.0000 0.0000
Zr: 0.5000 0.5000 0.5000

- mass density (g cm⁻³) = 6.8
- energy of formation from the pure elements (eV per formula unit) = 4.0
- DFT total energy (eV per atom) = -4.5973
- size of the total moment (μB per formula unit) = 0.00

---

No. 5
Material: BaHfZr3
Method: DFT, PBE
State: optimized geometry

abc: 5.2457 5.2457 5.2457
angles: 90.00 90.00 90.00
Element x y z (fractional)
Ba: 0.0000 0.0000 0.0000
Hf: 0.5000 0.5000 0.5000
Zr: 0.0000 0.0000 0.5000
Zr: 0.0000 0.5000 0.0000
Zr: 0.5000 0.0000 0.0000

- mass density (g cm⁻³) = 6.8
- energy of formation from the pure elements (eV per formula unit) = 8.8
- DFT total energy (eV per atom) = -5.7522
- size of the total moment (μB per formula unit) = 0.00

---

No. 6
Material: BaHg3
Method: DFT, PBE
State: optimized geometry

abc: 6.3879 6.3879 7.9643
angles: 90.00 90.00 131.40
Element x y z (fractional)
Ba: 0.0902 0.9098 0.7500
Ba: 0.9098 0.0902 0.2500
Hg: 0.2111 0.7889 0.2500
Hg: 0.3755 0.6245 0.5581
Hg: 0.3755 0.6245 0.9419
Hg: 0.6245 0.3755 0.0581
Hg: 0.6245 0.3755 0.4419
Hg: 0.7889 0.2111 0.7500

- mass density (g cm⁻³) = 10.1
- energy of formation from the pure elements (eV per formula unit) = -1.6
- DFT total energy (eV per atom) = -1.1133
- size of the total moment (μB per formula unit) = 0.00

---

No. 7
Material: BaHg3
Method: DFT, PBE
State: optimized geometry

abc: 4.7769 4.7769 7.3874
angles: 90.00 90.00 120.00
Element x y z (fractional)
Ba: 0.0000 0.0000 0.0000
Hg: 0.0000 0.0000 0.5000
Hg: 0.6667 0.3333 0.2868
Hg: 0.6667 0.3333 0.7132

- mass density (g cm⁻³) = 8.4
- energy of formation from the pure elements (eV per formula unit) = -1.1
- DFT total energy (eV per atom) = -0.9748
- size of the total moment (μB per formula unit) = 0.00

---

No. 8
Material: BaHg
Method: DFT, PBE
State: optimized geometry

abc: 4.6633 4.6633 4.5407
angles: 90.00 90.00 120.00
Element x y z (fractional)
Ba: 0.0000 0.0000 0.0000
Hg: 0.6667 0.3333 0.5000

- mass density (g cm⁻³) = 6.6
- energy of formation from the pure elements (eV per formula unit) = -0.9
- DFT total energy (eV per atom) = -1.5401
- size of the total moment (μB per formula unit) = 0.00